[1]
Here is crystalline TiSn2O4 at its relaxed geometry from Alexandria via LeMat-Bulk. Energies are from PBE.

Cell lengths 8.619, 8.619, 6.006 Å; angles 90.00, 90.00, 90.00 degrees
Fractional coordinates of all 28 atoms:
1 Ti 0.000 0.500 0.250
2 Ti 0.500 0.000 0.750
3 Ti 0.000 0.500 0.750
4 Ti 0.500 0.000 0.250
5 Sn 0.353 0.337 0.500
6 Sn 0.647 0.663 0.500
7 Sn 0.663 0.353 0.000
8 Sn 0.337 0.647 0.000
9 Sn 0.837 0.853 0.000
10 Sn 0.853 0.163 0.500
11 Sn 0.147 0.837 0.500
12 Sn 0.163 0.147 0.000
13 O 0.403 0.881 0.500
14 O 0.597 0.119 0.500
15 O 0.119 0.403 0.000
16 O 0.881 0.597 0.000
17 O 0.381 0.903 0.000
18 O 0.903 0.619 0.500
19 O 0.097 0.381 0.500
20 O 0.619 0.097 0.000
21 O 0.163 0.663 0.750
22 O 0.663 0.837 0.250
23 O 0.337 0.163 0.250
24 O 0.837 0.337 0.750
25 O 0.163 0.663 0.250
26 O 0.663 0.837 0.750
27 O 0.337 0.163 0.750
28 O 0.837 0.337 0.250

electronic total energy = -7.14 eV per atom
raw formation energy = -2035 meV/atom
volume = 446.1 Å³/cell


[2]
Here is crystalline AcIn6Cu6 at its relaxed geometry from Alexandria via LeMat-Bulk. Energies are from PBE.

Cell lengths 5.542, 7.242, 7.242 Å; angles 81.17, 67.51, 67.51 degrees
Fractional coordinates of all 13 atoms:
1 Ac 0.000 0.000 0.000
2 In 0.348 0.652 0.652
3 In 0.652 0.348 0.348
4 In 0.000 0.342 0.658
5 In 0.000 0.658 0.342
6 In 0.304 0.196 0.196
7 In 0.696 0.804 0.804
8 Cu 0.000 0.500 0.000
9 Cu 0.500 0.500 0.000
10 Cu 0.000 0.000 0.500
11 Cu 0.500 0.000 0.500
12 Cu 0.500 0.766 0.234
13 Cu 0.500 0.234 0.766

electronic total energy = -3.58 eV per atom
volume = 248.1 Å³/cell
ΔE_f = -1.43 eV/f.u.


[3]
Here is crystalline Ge2OsRu2 at its relaxed geometry from Alexandria via LeMat-Bulk. Energies are from PBE.

Cell lengths 7.111, 7.111, 2.846 Å; angles 90.00, 90.00, 90.00 degrees
Fractional coordinates of all 10 atoms:
1 Ge 0.853 0.353 0.000
2 Ge 0.647 0.853 0.000
3 Ge 0.147 0.647 0.000
4 Ge 0.353 0.147 0.000
5 Os 0.000 0.000 0.000
6 Os 0.500 0.500 0.000
7 Ru 0.654 0.154 0.500
8 Ru 0.846 0.654 0.500
9 Ru 0.346 0.846 0.500
10 Ru 0.154 0.346 0.500

electronic total energy = -7.65 eV per atom
volume = 143.9 Å³/cell
ΔE_f = 0.77 eV/f.u.


Copy entry 2 word for word.
Here is crystalline AcIn6Cu6 at its relaxed geometry from Alexandria via LeMat-Bulk. Energies are from PBE.

Cell lengths 5.542, 7.242, 7.242 Å; angles 81.17, 67.51, 67.51 degrees
Fractional coordinates of all 13 atoms:
1 Ac 0.000 0.000 0.000
2 In 0.348 0.652 0.652
3 In 0.652 0.348 0.348
4 In 0.000 0.342 0.658
5 In 0.000 0.658 0.342
6 In 0.304 0.196 0.196
7 In 0.696 0.804 0.804
8 Cu 0.000 0.500 0.000
9 Cu 0.500 0.500 0.000
10 Cu 0.000 0.000 0.500
11 Cu 0.500 0.000 0.500
12 Cu 0.500 0.766 0.234
13 Cu 0.500 0.234 0.766

electronic total energy = -3.58 eV per atom
volume = 248.1 Å³/cell
ΔE_f = -1.43 eV/f.u.


Q: Number 3 is which compound?
A: Ge2OsRu2


Q: Which value of electronic total energy does entry 3 give?
A: -7.65 eV per atom


Q: Which formula does entry 2 have?
A: AcIn6Cu6